SCAN ScFeRu2, single point on PBEsol structure; space group = P4/mmm (123); energy relative to the elements = -1.102 eV/f.u.
1.0
-0.626 -2.750 -1.242
3.505 0.286 -2.399
2.256 -1.900 3.069
Ru Sc Fe
2 1 1
Direct
0.000 0.500 0.000 Ru
0.000 0.000 0.500 Ru
0.500 0.500 0.500 Sc
0.500 0.000 0.000 Fe

=====

SCAN ScFeRu2, single point on PBEsol structure; space group = C2/m (12); energy relative to the elements = -0.206 eV/f.u.
1.0
-2.797 0.861 -0.132
-0.957 -2.576 3.493
2.753 4.124 1.050
Sc Fe Ru
1 1 2
Direct
0.000 0.500 0.000 Sc
0.500 0.000 0.000 Fe
0.774 0.775 0.548 Ru
0.226 0.225 0.452 Ru

=====

SCAN ScFe4Ru, single point on PBEsol structure; space group = F-43m (216); energy relative to the elements = -0.558 eV/f.u.
1.0
4.744 0.000 0.000
2.372 4.109 0.000
2.372 1.370 3.874
Sc Ru Fe
1 1 4
Direct
0.000 0.000 0.000 Sc
0.250 0.250 0.250 Ru
0.624 0.624 0.128 Fe
0.624 0.624 0.624 Fe
0.128 0.624 0.624 Fe
0.624 0.128 0.624 Fe

=====

SCAN Fe2RuSe, single point on PBEsol structure; ΔE_f (raw) = 1.27 eV per formula unit; space group = Cmmm (65)
1.0
-0.767 -1.035 -2.495
2.984 -3.269 0.441
-4.006 -1.008 1.650
Ru Fe Se
1 2 1
Direct
0.500 0.000 0.000 Ru
0.000 0.000 0.500 Fe
0.000 0.500 0.000 Fe
0.500 0.500 0.500 Se

=====

SCAN Fe2RuSe, single point on PBEsol structure; ΔE_f (raw) = 1.58 eV per formula unit; space group = R-3m (166)
1.0
2.739 0.000 0.000
1.370 2.372 0.000
1.370 0.791 7.799
Fe Se Ru
2 1 1
Direct
0.252 0.252 0.243 Fe
0.748 0.748 0.757 Fe
0.000 0.000 0.000 Se
0.500 0.500 0.500 Ru

=====

SCAN Fe2RuSe, single point on PBEsol structure; ΔE_f (raw) = 1.36 eV per formula unit; space group = P4/mmm (123)
1.0
-0.630 -0.724 -2.657
-2.429 -1.137 0.886
-2.856 5.467 -0.814
Se Fe Ru
1 2 1
Direct
0.500 0.500 0.500 Se
0.000 0.000 0.260 Fe
0.000 0.000 0.740 Fe
0.500 0.500 0.000 Ru

=====

SCAN Fe2RuSe, single point on PBEsol structure; ΔE_f (raw) = 1.14 eV per formula unit; space group = Imm2 (44)
1.0
-1.214 0.048 -2.683
-1.002 -3.963 0.382
-2.557 3.046 2.829
Ru Fe Se
1 2 1
Direct
0.519 0.519 0.037 Ru
0.984 0.984 0.968 Fe
0.741 0.241 0.482 Fe
0.256 0.756 0.513 Se

=====

SCAN Fe2SiRu, single point on PBEsol structure; ΔE_f (raw) = -1.38 eV per formula unit; space group = P4mm (99)
1.0
-2.714 0.694 -0.630
0.298 -1.191 -2.596
-1.732 -4.909 2.053
Fe Si Ru
2 1 1
Direct
0.000 0.000 0.997 Fe
0.500 0.500 0.229 Fe
0.500 0.500 0.764 Si
0.000 0.000 0.511 Ru

=====

SCAN FeSi4Ru, single point on PBEsol structure; ΔE_f (raw) = 3.15 eV per formula unit; space group = F-43m (216)
1.0
-1.901 4.008 1.672
-3.326 -0.181 3.374
1.007 1.445 4.401
Si Ru Fe
4 1 1
Direct
0.625 0.625 0.625 Si
0.625 0.625 0.125 Si
0.625 0.125 0.625 Si
0.125 0.625 0.625 Si
0.000 0.000 0.000 Ru
0.250 0.250 0.250 Fe

=====

SCAN Fe2SiRu, single point on PBEsol structure; ΔE_f (raw) = -1.20 eV per formula unit; space group = Immm (71)
1.0
2.813 0.000 0.000
0.000 3.972 0.000
-1.407 -1.986 4.107
Fe Ru Si
2 1 1
Direct
0.261 0.261 0.521 Fe
0.739 0.739 0.479 Fe
0.500 0.000 0.000 Ru
0.000 0.500 0.000 Si

=====

SCAN Fe2SiRu, single point on PBEsol structure; ΔE_f (raw) = -1.38 eV per formula unit; space group = Pmmm (47)
1.0
-1.250 0.767 2.477
2.560 -2.244 1.986
2.533 3.157 0.301
Ru Fe Si
1 2 1
Direct
0.500 0.000 0.500 Ru
0.500 0.500 0.000 Fe
0.000 0.000 0.000 Fe
0.000 0.500 0.500 Si

=====

SCAN FeSi3Ru, single point on PBEsol structure; ΔE_f (raw) = 3.75 eV per formula unit; space group = Pm-3m (221); polymorph energy (0 for the lowest one) = 0 meV per atom
1.0
4.180 0.000 0.000
0.000 4.180 0.000
0.000 0.000 4.180
Fe Ru Si
1 1 3
Direct
0.000 0.000 0.000 Fe
0.500 0.500 0.500 Ru
0.000 0.000 0.500 Si
0.500 0.000 0.000 Si
0.000 0.500 0.000 Si

=====

Q: Which formula does entry 8 have?
A: Fe2SiRu